1.
This record from the Alexandria database describes a geometry-optimized Ca2YMnO5 structure. The functional is PBE with a Hubbard U.

```
Ca2YMnO5
1.0
-8.281 2.786 2.707
8.281 -2.786 2.707
8.281 2.786 -2.707
Ca Y Mn O
4 2 2 10
Direct
0.025 0.100 0.125
0.025 0.400 0.425
0.975 0.600 0.575
0.975 0.900 0.875
0.433 0.720 0.213
0.507 0.220 0.787
0.521 0.021 0.500
0.521 0.521 0.000
0.024 0.286 0.771
0.024 0.753 0.239
0.140 0.811 0.828
0.488 0.196 0.554
0.488 0.434 0.792
0.515 0.253 0.229
0.515 0.786 0.761
0.641 0.696 0.208
0.641 0.934 0.446
0.983 0.311 0.172
```

Total energy, eV per atom: -7.391
Density, g cm⁻³: 4.04
Crystal system: orthorhombic

=====

2.
This record from the Alexandria database describes a geometry-optimized CaYMn2O6 structure. The functional is PBE with a Hubbard U.

```
CaYMn2O6
1.0
7.571 0.000 0.000
0.000 5.560 0.000
0.000 0.000 5.357
Ca Y Mn O
2 2 4 12
Direct
0.000 0.197 0.000
0.500 0.803 0.500
0.000 0.686 0.472
0.500 0.314 0.972
0.250 0.246 0.488
0.250 0.754 0.988
0.750 0.246 0.488
0.750 0.754 0.988
0.000 0.282 0.575
0.000 0.777 0.887
0.200 0.948 0.292
0.203 0.459 0.197
0.297 0.541 0.697
0.300 0.052 0.792
0.500 0.223 0.387
0.500 0.718 0.075
0.700 0.052 0.792
0.703 0.541 0.697
0.797 0.459 0.197
0.800 0.948 0.292
```

Total energy, eV per atom: -7.670
Density, g cm⁻³: 4.93
Crystal system: orthorhombic

=====

3.
This record from the Alexandria database describes a geometry-optimized CaYb3Mn4O12 structure. The functional is PBE with a Hubbard U.

```
CaYb3Mn4O12
1.0
5.354 0.000 0.000
0.000 7.570 0.000
-0.021 0.000 5.536
Ca Yb Mn O
1 3 4 12
Direct
0.000 0.000 0.000
0.475 0.000 0.506
0.502 0.500 0.389
0.975 0.500 0.888
0.488 0.249 0.948
0.488 0.751 0.948
0.989 0.249 0.446
0.989 0.751 0.446
0.081 0.500 0.475
0.191 0.205 0.741
0.191 0.795 0.741
0.292 0.206 0.250
0.292 0.794 0.250
0.395 0.500 0.975
0.575 0.000 0.918
0.692 0.298 0.650
0.692 0.702 0.650
0.786 0.301 0.152
0.786 0.699 0.152
0.895 0.000 0.420
```

Total energy, eV per atom: -7.009
Density, g cm⁻³: 7.19
Crystal system: monoclinic

=====

4.
This record from the Alexandria database describes a geometry-optimized CaMnZn2O4 structure. The functional is PBE with a Hubbard U.

```
CaMnZn2O4
1.0
1.568 -5.501 0.000
1.568 5.501 0.000
0.000 0.000 11.249
Ca Mn Zn O
2 2 4 8
Direct
0.154 0.846 0.750
0.846 0.154 0.250
0.108 0.892 0.250
0.892 0.108 0.750
0.371 0.629 0.518
0.371 0.629 0.982
0.629 0.371 0.018
0.629 0.371 0.482
0.000 0.000 0.000
0.000 0.000 0.500
0.241 0.759 0.115
0.241 0.759 0.385
0.494 0.506 0.250
0.506 0.494 0.750
0.759 0.241 0.615
0.759 0.241 0.885
```

Total energy, eV per atom: -5.626
Density, g cm⁻³: 4.96
Crystal system: orthorhombic

=====

5.
This record from the Alexandria database describes a geometry-optimized CaMn2ZnO4 structure. The functional is PBE with a Hubbard U.

```
CaMn2ZnO4
1.0
-3.199 3.219 4.582
3.199 -3.219 4.582
3.199 3.219 -4.582
Ca Mn Zn O
2 4 2 8
Direct
0.000 0.000 0.000
0.500 0.000 0.500
0.000 0.500 0.500
0.500 0.000 0.000
0.500 0.500 0.000
0.500 0.500 0.500
0.000 0.000 0.500
0.000 0.500 0.000
0.234 0.745 0.488
0.243 0.255 0.988
0.257 0.267 0.510
0.257 0.747 0.990
0.743 0.253 0.010
0.743 0.733 0.490
0.757 0.745 0.012
0.766 0.255 0.512
```

Total energy, eV per atom: -6.599
Density, g cm⁻³: 4.92
Crystal system: orthorhombic

=====

6.
This record from the Alexandria database describes a geometry-optimized Ca3MnZnO6 structure. The functional is PBE with a Hubbard U.

```
Ca3MnZnO6
1.0
4.615 2.665 3.581
-4.615 2.665 3.581
0.000 -5.329 3.581
Ca Mn Zn O
6 2 2 12
Direct
0.111 0.750 0.389
0.250 0.611 0.889
0.389 0.111 0.750
0.611 0.889 0.250
0.750 0.389 0.111
0.889 0.250 0.611
0.000 0.000 0.000
0.500 0.500 0.500
0.250 0.250 0.250
0.750 0.750 0.750
0.047 0.918 0.713
0.082 0.287 0.953
0.213 0.418 0.547
0.287 0.953 0.082
0.418 0.547 0.213
0.453 0.787 0.582
0.547 0.213 0.418
0.582 0.453 0.787
0.713 0.047 0.918
0.787 0.582 0.453
0.918 0.713 0.047
0.953 0.082 0.287
```

Total energy, eV per atom: -6.336
Density, g cm⁻³: 4.23
Crystal system: trigonal

=====

7.
This record from the Alexandria database describes a geometry-optimized CaMn2ZnO structure. The functional is PBE with a Hubbard U.

```
CaMn2ZnO
1.0
4.411 0.000 0.000
0.000 4.411 0.000
0.000 0.000 4.638
Ca Mn Zn O
1 2 1 1
Direct
0.000 0.000 0.000
0.000 0.500 0.500
0.500 0.000 0.500
0.500 0.500 0.000
0.000 0.000 0.500
```

Total energy, eV per atom: -5.179
Density, g cm⁻³: 4.26
Crystal system: tetragonal

=====

8.
This record from the Alexandria database describes a geometry-optimized CaMnZnO2 structure. The functional is PBE with a Hubbard U.

```
CaMnZnO2
1.0
4.365 0.000 0.000
0.000 4.365 0.000
0.000 0.000 5.416
Ca Mn Zn O
1 1 1 2
Direct
0.000 0.000 0.000
0.500 0.500 0.500
0.000 0.000 0.500
0.000 0.500 0.000
0.500 0.000 0.000
```

Total energy, eV per atom: -4.350
Density, g cm⁻³: 3.10
Crystal system: tetragonal

=====

9.
This record from the Alexandria database describes a geometry-optimized Ca2ZrMnO6 structure. The functional is PBE with a Hubbard U.

```
Ca2ZrMnO6
1.0
5.489 0.000 0.000
0.000 5.611 0.000
-5.434 0.000 7.828
Ca Zr Mn O
4 2 2 12
Direct
0.237 0.047 0.249
0.237 0.453 0.749
0.763 0.547 0.251
0.763 0.953 0.751
0.500 0.000 0.000
0.500 0.500 0.500
0.000 0.000 0.500
0.000 0.500 0.000
0.147 0.216 0.953
0.147 0.284 0.453
0.237 0.698 0.953
0.237 0.802 0.453
0.328 0.027 0.739
0.328 0.473 0.239
0.672 0.527 0.761
0.672 0.973 0.261
0.763 0.198 0.547
0.763 0.302 0.047
0.853 0.716 0.547
0.853 0.784 0.047
```

Total energy, eV per atom: -7.641
Density, g cm⁻³: 4.44
Crystal system: monoclinic

=====

The highest density belongs to which entry?
CaYb3Mn4O12

=====

The highest total energy belongs to which entry?
CaMnZnO2

=====

What is the total energy in the third record?
-7.009 eV per atom

=====

The lowest density belongs to which entry?
CaMnZnO2